The following is a DFT calculation (GGA-PBE) of an optimized crystal structure of NaSrLi2Rh.

Computed properties:
V = 28.85 A^3/atom
Formation energy = 56 kJ/mol of formula units
DOS at the Fermi energy = 2.814 states/eV/cell
Spin magnetization = 0.00 μB/atom

Cell: 5.112 5.112 5.518 Å, 90.00 90.00 90.00°
Space group P4/mmm (No. 123)
Asymmetric unit:
Na 0.000 0.000 0.000 (multiplicity 1)
Sr 0.500 0.500 0.000 (multiplicity 1)
Li 0.000 0.500 0.500 (multiplicity 2)
Rh 0.500 0.500 0.500 (multiplicity 1)